<i>
Computed, not measured: a geometry-optimized Ag3SnBr6 structure at the PBE-GGA level of DFT.

Results
SG: P2_1/m, No. 11
D(E_F): 18.263 states/eV per cell
Magnetization: 0.00 μB per formula unit

Structure (POSCAR):
```
Ag3SnBr6
1.0
4.3977 0.0000 0.0000
0.0000 11.8346 0.1016
0.0000 -3.8594 10.7832
Ag Sn Br
6 2 12
direct
0.7500 0.4242 0.8356
0.2500 0.5758 0.1644
0.7500 0.6514 0.4956
0.2500 0.3486 0.5044
0.7500 0.1697 0.0868
0.2500 0.8303 0.9132
0.7500 0.0316 0.6986
0.2500 0.9684 0.3014
0.7500 0.4780 0.6240
0.2500 0.5220 0.3760
0.7500 0.9309 0.0926
0.2500 0.0691 0.9074
0.7500 0.3898 0.0559
0.2500 0.6102 0.9441
0.7500 0.7307 0.2827
0.2500 0.2693 0.7173
0.7500 0.1019 0.4540
0.2500 0.8981 0.5460
0.7500 0.7993 0.7411
0.2500 0.2007 0.2589
```

---

<ii>
Computed, not measured: a geometry-optimized Ag3SnBr6 structure at the PBE-GGA level of DFT.

Results
SG: P-1, No. 2
D(E_F): 1.947 states/eV per cell
Magnetization: 0.00 μB per formula unit

Structure (POSCAR):
```
Ag3SnBr6
1.0
7.1341 0.1391 3.5884
2.4973 6.6323 3.7358
0.4799 0.1421 7.9980
Ag Sn Br
3 1 6
direct
0.5000 0.5000 0.0000
0.5000 0.0000 0.5000
0.5000 0.5000 0.5000
0.0000 0.0000 0.0000
0.7301 0.7698 0.2674
0.2699 0.2302 0.7326
0.7328 0.2700 0.7671
0.2672 0.7300 0.2329
0.2186 0.7511 0.7511
0.7814 0.2489 0.2489
```

---

Tell me which of them is the most stable. Sure, it is <ii>.

---

<i>
Computed, not measured: a geometry-optimized AgSn2Br structure at the PBE-GGA level of DFT.

Results
SG: Fm-3m, No. 225
D(E_F): 1.863 states/eV per cell
Magnetization: 0.00 μB per formula unit

Structure (POSCAR):
```
AgSn2Br
1.0
0.0000 3.6908 3.6908
3.6908 0.0000 3.6908
3.6908 3.6908 0.0000
Br Sn Ag
1 2 1
direct
0.0000 0.0000 0.0000
0.2500 0.2500 0.2500
0.7500 0.7500 0.7500
0.5000 0.5000 0.5000
```

---

<ii>
Computed, not measured: a geometry-optimized AgSn2Br structure at the PBE-GGA level of DFT.

Results
SG: I-42d, No. 122
D(E_F): 0.369 states/eV per cell
Magnetization: 0.00 μB per formula unit

Structure (POSCAR):
```
AgSn2Br
1.0
6.4519 0.0000 0.0000
0.0000 6.4519 0.0000
3.2260 3.2260 6.8900
Br Sn Ag
2 4 2
direct
0.5000 0.5000 0.0000
0.2500 0.7500 0.5000
0.6802 0.1250 0.2500
0.0698 0.6250 0.2500
0.3750 0.3198 0.7500
0.8750 0.9302 0.7500
0.0000 0.0000 0.0000
0.7500 0.2500 0.5000
```

---

Tell me which of them is the most stable. Sure, it is <i>.

---

<i>
Computed, not measured: a geometry-optimized AgSnBr4 structure at the PBE-GGA level of DFT.

Results
SG: P222, No. 16
Magnetization: 0.00 μB per formula unit

Structure (POSCAR):
```
AgSnBr4
1.0
-1.7701 3.0125 6.1011
-1.9056 -6.5908 2.7014
8.1198 -1.1495 2.9234
Ag Sn Br
2 2 8
direct
0.0000 0.0000 0.0000
0.5000 0.0000 0.5000
0.0000 0.5000 0.0000
0.0000 0.0000 0.5000
0.2200 0.2890 0.1421
0.2200 0.7110 0.8579
0.7800 0.2890 0.8579
0.7800 0.7110 0.1421
0.7315 0.8098 0.6929
0.7315 0.1902 0.3071
0.2685 0.8098 0.3071
0.2685 0.1902 0.6929
```

---

<ii>
Computed, not measured: a geometry-optimized AgSnBr4 structure at the PBE-GGA level of DFT.

Results
SG: C2/m, No. 12
D(E_F): 10.605 states/eV per cell
Magnetization: 0.00 μB per formula unit

Structure (POSCAR):
```
AgSnBr4
1.0
-2.5370 3.1483 -0.8868
-8.3421 -3.8824 0.4218
-2.3132 3.7203 10.1644
Ag Sn Br
2 2 8
direct
0.7504 0.7500 0.2500
0.2496 0.2500 0.7500
0.5000 0.5000 0.0000
0.0000 0.0000 0.5000
0.6814 0.2066 0.9311
0.8191 0.2934 0.5689
0.4470 0.9303 0.6765
0.0538 0.5697 0.8235
0.5530 0.0697 0.3235
0.3186 0.7934 0.0689
0.1809 0.7066 0.4311
0.9462 0.4303 0.1765
```

---

Tell me which of them is the most stable. Sure, it is <ii>.

---

<i>
Computed, not measured: a geometry-optimized Ag2SnBr4 structure at the PBE-GGA level of DFT.

Results
SG: P4_122, No. 91
D(E_F): 0.000 states/eV per cell
Magnetization: 0.00 μB per formula unit

Structure (POSCAR):
```
Ag2SnBr4
1.0
8.5841 0.0000 0.0000
0.0000 8.5841 0.0000
0.0000 0.0000 12.0996
Br Sn Ag
16 4 8
direct
0.2612 0.9881 0.5014
0.7388 0.9881 0.4986
0.0119 0.2612 0.7514
0.7388 0.0119 0.0014
0.2518 0.4924 0.9904
0.5076 0.2518 0.2404
0.4924 0.7482 0.7404
0.2518 0.5076 0.5096
0.7482 0.4924 0.0096
0.7482 0.5076 0.4904
0.4924 0.2518 0.7596
0.5076 0.7482 0.2596
0.9881 0.2612 0.2486
0.2612 0.0119 0.9986
0.9881 0.7388 0.2514
0.0119 0.7388 0.7486
0.0000 0.7380 0.5000
0.2620 0.0000 0.7500
0.7380 0.0000 0.2500
0.0000 0.2620 0.0000
0.7480 0.7480 0.8750
0.2520 0.7480 0.1250
0.7480 0.2520 0.6250
0.2520 0.2520 0.3750
0.7329 0.5000 0.2500
0.5000 0.2671 0.0000
0.5000 0.7329 0.5000
0.2671 0.5000 0.7500
```

---

<ii>
Computed, not measured: a geometry-optimized Ag2SnBr4 structure at the PBE-GGA level of DFT.

Results
SG: P-42m, No. 111
D(E_F): 0.000 states/eV per cell
Magnetization: 0.00 μB per formula unit

Structure (POSCAR):
```
Ag2SnBr4
1.0
-2.0923 0.7447 -5.8508
1.1601 -6.0348 -1.1830
-6.0341 -1.5444 1.9613
Ag Sn Br
2 1 4
direct
0.5000 0.0000 0.5000
0.0000 0.5000 0.5000
0.0000 0.0000 0.0000
0.7337 0.2663 0.7436
0.2663 0.2663 0.2564
0.2663 0.7337 0.7436
0.7337 0.7337 0.2564
```

---

Tell me which of them is the most stable. Sure, it is <i>.